Entry 1:
{"formula": "RbLaTaGeTe", "functional": "PBE-GGA", "state": "optimized geometry", "formation_energy_uncorrected_ev_per_atom": -0.28, "de_polymorph_mev_per_atom": 94, "dos_at_fermi_per_ev_fu": 4.8, "energy_ev_per_atom": -5.382, "lattice_angstrom": [[4.2779, 0.0000, 0.0000], [0.0000, 2.2004, 8.8265], [0.0000, -2.2004, 8.8265]], "species": ["Rb", "La", "Ta", "Ge", "Te"], "fractional_positions": [[0.0000, 0.0000, 0.0000], [0.0000, 0.2440, 0.2440], [0.5000, 0.8113, 0.8113], [0.5000, 0.3827, 0.3827], [0.5000, 0.6515, 0.6515]]}

***

Entry 2:
{"formula": "Rb2CeScSe4", "functional": "PBE-GGA", "state": "optimized geometry", "formation_energy_uncorrected_ev_per_atom": -1.61, "dos_at_fermi_per_ev_fu": 5.6, "energy_ev_per_atom": -5.125, "lattice_angstrom": [[7.3187, 0.0000, 0.0000], [0.0000, 4.2325, 0.0000], [-2.4280, 0.0000, 7.9693]], "species": ["Rb", "Rb", "Ce", "Sc", "Se", "Se", "Se", "Se"], "fractional_positions": [[0.0000, 0.0000, 0.0000], [0.5000, 0.5000, 0.0000], [0.0000, 0.5000, 0.5000], [0.5000, 0.0000, 0.5000], [0.2501, 0.0000, 0.6961], [0.2866, 0.5000, 0.3113], [0.7134, 0.5000, 0.6887], [0.7499, 0.0000, 0.3039]]}

***

Entry 3:
{"formula": "Rb2Cd3PbAu4", "functional": "PBE-GGA", "state": "optimized geometry", "dos_at_fermi_per_ev_fu": 4.2, "energy_ev_per_atom": -2.355, "e_form_ev_per_fu": -2.05, "lattice_angstrom": [[5.0493, 0.0000, 0.0000], [0.0000, 5.0493, 0.0000], [0.0000, 0.0000, 11.2095]], "species": ["Rb", "Rb", "Cd", "Cd", "Cd", "Pb", "Au", "Au", "Au", "Au"], "fractional_positions": [[0.0000, 0.5000, 0.2359], [0.5000, 0.0000, 0.7641], [0.0000, 0.5000, 0.8785], [0.5000, 0.0000, 0.1215], [0.5000, 0.5000, 0.5000], [0.0000, 0.0000, 0.5000], [0.0000, 0.0000, 0.0000], [0.0000, 0.5000, 0.6276], [0.5000, 0.0000, 0.3724], [0.5000, 0.5000, 0.0000]]}

***

Entry 4:
{"formula": "YNiAu2", "functional": "PBE-GGA", "state": "optimized geometry", "dos_at_fermi_per_ev_fu": 1.7, "energy_ev_per_atom": -5.179, "e_form_ev_per_fu": -1.92, "lattice_angstrom": [[-1.9606, 2.1345, 4.4083], [1.9606, -2.1345, 4.4083], [1.9606, 2.1345, -4.4083]], "species": ["Y", "Ni", "Au", "Au"], "fractional_positions": [[0.0000, 0.0000, 0.0000], [0.5000, 0.5000, 0.0000], [0.2647, 0.7647, 0.5000], [0.7353, 0.2353, 0.5000]]}

***

Entry 5:
{"formula": "CaNd6Tm4", "functional": "PBE-GGA", "state": "optimized geometry", "dos_at_fermi_per_ev_fu": 16.6, "energy_ev_per_atom": -4.083, "e_form_ev_per_fu": 3.58, "lattice_angstrom": [[9.3328, 0.0000, 0.0000], [-4.6664, 8.0825, 0.0000], [0.0000, 0.0000, 5.3428]], "species": ["Ca", "Nd", "Nd", "Nd", "Nd", "Nd", "Nd", "Tm", "Tm", "Tm", "Tm"], "fractional_positions": [[0.0000, 0.0000, 0.0000], [0.2017, 0.4034, 0.5000], [0.2017, 0.7983, 0.5000], [0.5325, 0.0650, 0.0000], [0.5325, 0.4675, 0.0000], [0.5966, 0.7983, 0.5000], [0.9350, 0.4675, 0.0000], [0.3333, 0.6667, 0.0000], [0.4216, 0.2108, 0.5000], [0.7892, 0.2108, 0.5000], [0.7892, 0.5784, 0.5000]]}

***

Entry 6:
{"formula": "V2NiAsH", "functional": "PBE-GGA", "state": "optimized geometry", "dos_at_fermi_per_ev_fu": 3.7, "energy_ev_per_atom": -6.618, "lattice_angstrom": [[3.6851, 0.0000, 0.0000], [0.0000, 3.6851, 0.0000], [0.0000, 0.0000, 3.9531]], "species": ["V", "V", "Ni", "As", "H"], "fractional_positions": [[0.0000, 0.5000, 0.0000], [0.5000, 0.0000, 0.0000], [0.0000, 0.0000, 0.5000], [0.5000, 0.5000, 0.5000], [0.0000, 0.0000, 0.0000]]}

***

Entry 7:
{"formula": "Ti2Fe2Rh", "functional": "PBE-GGA", "state": "optimized geometry", "de_polymorph_mev_per_atom": 35, "dos_at_fermi_per_ev_fu": 4.7, "energy_ev_per_atom": -8.262, "e_form_ev_per_fu": -1.24, "lattice_angstrom": [[6.6923, 0.0000, 0.0000], [0.0000, 6.6923, 0.0000], [0.0000, 0.0000, 3.0070]], "species": ["Ti", "Ti", "Ti", "Ti", "Fe", "Fe", "Fe", "Fe", "Rh", "Rh"], "fractional_positions": [[0.1934, 0.3066, 0.0000], [0.3066, 0.8066, 0.0000], [0.6934, 0.1934, 0.0000], [0.8066, 0.6934, 0.0000], [0.1144, 0.6144, 0.5000], [0.3856, 0.1144, 0.5000], [0.6144, 0.8856, 0.5000], [0.8856, 0.3856, 0.5000], [0.0000, 0.0000, 0.5000], [0.5000, 0.5000, 0.5000]]}

***

Entry 8:
{"formula": "LaRh2W", "functional": "PBE-GGA", "state": "optimized geometry", "de_polymorph_mev_per_atom": 613, "dos_at_fermi_per_ev_fu": 5.2, "energy_ev_per_atom": -7.727, "e_form_ev_per_fu": 1.67, "lattice_angstrom": [[1.4599, 0.8429, 9.7733], [-1.4599, 0.8429, 9.7733], [0.0000, -1.6858, 9.7733]], "species": ["La", "Rh", "Rh", "W"], "fractional_positions": [[0.0000, 0.0000, 0.0000], [0.4971, 0.4971, 0.4971], [0.7523, 0.7523, 0.7523], [0.2330, 0.2330, 0.2330]]}